! HoErTh2S4 | the Alexandria database | PBE | optimized geometry; values from VASP
! uncorrected energy	-6.95	eV per atom
! magnetization	0.000	μB per atom
! formation energy without anion corrections	-15.15	eV/f.u.
&SYSTEM
  ibrav = 0, nat = 8, ntyp = 4
/
ATOMIC_SPECIES
Th 232.04 Th.upf
S 32.06 S.upf
Er 167.26 Er.upf
Ho 164.93 Ho.upf
ATOMIC_POSITIONS angstrom
Th 1.9527 -1.1820 3.3357
Th 0.0000 2.1708 3.3851
S 1.9527 1.0954 1.5653
S 0.0000 4.4369 1.6108
S 1.9527 3.2462 5.2050
S 0.0000 -0.0952 5.1595
Er 1.9527 3.3528 0.0494
Ho 0.0000 0.0000 0.0000
CELL_PARAMETERS angstrom
3.9055 0.0000 0.0000
0.0000 6.7056 0.0989
0.0000 -2.3639 6.6714

! La11Pm9Er4 | the Alexandria database | PBE | optimized geometry; values from VASP
! uncorrected energy	-4.74	eV per atom
! magnetization	0.000	μB per atom
! energy of formation from the pure elements	1.5	kcal/mol of atoms
&SYSTEM
  ibrav = 0, nat = 24, ntyp = 3
/
ATOMIC_SPECIES
Er 167.26 Er.upf
La 138.91 La.upf
Pm 145.00 Pm.upf
ATOMIC_POSITIONS angstrom
Er 1.8570 3.4708 5.5172
Er 1.8570 11.0313 4.0561
Er 1.8570 6.4373 1.0234
Er 1.8570 8.0649 8.5498
La 0.0000 5.3555 7.6582
La 0.0000 0.0000 0.0000
La 0.0000 9.1467 1.9151
La 0.0000 0.6040 6.1061
La 0.0000 12.1690 -2.6634
La 0.0000 10.2626 6.7746
La 0.0000 5.8522 -1.8442
La 0.0000 4.2396 2.7987
La 0.0000 2.3331 12.2366
La 0.0000 8.6500 11.4175
La 0.0000 13.8982 3.4672
Pm 1.8570 13.5331 6.6093
Pm 1.8570 12.1022 0.6695
Pm 1.8570 3.1063 -0.2737
Pm 1.8570 9.1306 -1.2922
Pm 1.8570 0.9691 2.9639
Pm 1.8570 7.2511 4.7866
Pm 1.8570 2.3999 8.9038
Pm 1.8570 5.3716 10.8655
Pm 1.8570 11.3959 9.8469
CELL_PARAMETERS angstrom
3.7139 0.0000 0.0000
0.0000 14.5218 -6.2275
0.0000 -0.0196 15.8007

! NiHg4Br2 | the Alexandria database | PBE | optimized geometry; values from VASP
! uncorrected energy	-1.61	eV per atom
! magnetization	0.000	μB per atom
! formation energy without anion corrections	-0.91	eV/f.u.
&SYSTEM
  ibrav = 0, nat = 7, ntyp = 3
/
ATOMIC_SPECIES
Hg 200.59 Hg.upf
Br 79.90 Br.upf
Ni 58.69 Ni.upf
ATOMIC_POSITIONS angstrom
Hg -0.9364 -2.2562 -0.7575
Hg -2.3260 0.8903 0.2235
Hg -6.0847 -1.0999 2.1628
Hg -0.0680 -0.7883 2.4321
Br -3.6170 -2.0445 1.9256
Br -4.7937 1.8349 0.4607
Ni 0.0000 0.0000 0.0000
CELL_PARAMETERS angstrom
-1.8728 -4.5123 -1.5150
-0.1360 -1.5766 4.8641
-6.4019 5.8794 -0.9628

! TlSb2Cl | the Alexandria database | PBE | optimized geometry; values from VASP
! uncorrected energy	-3.05	eV per atom
! magnetization	0.000	μB per atom
! formation energy without anion corrections	0.24	eV/f.u.
! distance to the lowest polymorph of the same formula	0.4640	eV per atom
&SYSTEM
  ibrav = 0, nat = 4, ntyp = 3
/
ATOMIC_SPECIES
Cl 35.45 Cl.upf
Sb 121.76 Sb.upf
Tl 204.38 Tl.upf
ATOMIC_POSITIONS angstrom
Cl -13.0052 -7.8535 17.2615
Sb -8.5905 -5.1876 11.4019
Sb -0.0797 -0.0481 0.1057
Tl -4.3351 -2.6178 5.7538
CELL_PARAMETERS angstrom
-4.9858 -2.1187 8.8943
-7.4306 -3.0612 6.6236
-4.9239 -5.2915 7.4974

! Na2SrSnH | the Alexandria database | PBE | optimized geometry; values from VASP
! uncorrected energy	-2.64	eV per atom
! magnetization	0.000	μB per atom
&SYSTEM
  ibrav = 0, nat = 5, ntyp = 4
/
ATOMIC_SPECIES
Na 22.99 Na.upf
Sn 118.71 Sn.upf
H 1.01 H.upf
Sr 87.62 Sr.upf
ATOMIC_POSITIONS angstrom
Na -1.3326 -1.4167 1.5058
Na 0.6449 -1.9869 -1.2986
Sn 1.3657 -3.7263 1.7207
H 0.0000 0.0000 0.0000
Sr 2.0534 -0.3227 1.5136
CELL_PARAMETERS angstrom
-2.6652 -2.8334 3.0115
1.2899 -3.9738 -2.5972
4.1067 -0.6455 3.0272

! UP2IrRu2 | the Alexandria database | PBE | optimized geometry; values from VASP
! uncorrected energy	-8.89	eV per atom
! magnetization	0.106	μB per atom
! energy of formation from the pure elements	-14.7	kcal/mol of atoms
&SYSTEM
  ibrav = 0, nat = 12, ntyp = 4
/
ATOMIC_SPECIES
P 30.97 P.upf
U 238.03 U.upf
Ir 192.22 Ir.upf
Ru 101.07 Ru.upf
ATOMIC_POSITIONS angstrom
P 1.9231 5.8814 4.2579
P 1.9231 2.1508 2.3851
P 0.0000 5.0944 0.8228
P 0.0000 1.3637 5.8202
U 0.0000 3.5789 4.3581
U 0.0000 7.3095 2.2849
Ir 1.9231 0.8320 4.2991
Ir 1.9231 4.5626 2.3439
Ru 1.9231 4.5455 6.1780
Ru 0.0000 6.5224 5.5682
Ru 1.9231 0.8149 0.4649
Ru 0.0000 2.7918 1.0748
CELL_PARAMETERS angstrom
3.8462 0.0000 0.0000
0.0000 7.4612 0.0000
0.0000 0.0000 6.6430

! ZrSc | the Alexandria database | PBE | optimized geometry; values from VASP
! uncorrected energy	-5.17	eV per atom
! magnetization	1.741	μB per atom
! energy of formation from the pure elements	52.2	kcal/mol of atoms
&SYSTEM
  ibrav = 0, nat = 2, ntyp = 2
/
ATOMIC_SPECIES
Zr 91.22 Zr.upf
Sc 44.96 Sc.upf
ATOMIC_POSITIONS angstrom
Zr 7.0084 4.0463 2.8612
Sc 0.0000 0.0000 0.0000
CELL_PARAMETERS angstrom
4.6723 0.0000 0.0000
2.3361 4.0463 0.0000
2.3361 1.3488 3.8149

! K2Ba2IrO6 | the Alexandria database | PBE | optimized geometry; values from VASP
! uncorrected energy	-5.68	eV per atom
! magnetization	0.273	μB per atom
! formation energy without anion corrections	-17.85	eV/f.u.
&SYSTEM
  ibrav = 0, nat = 11, ntyp = 4
/
ATOMIC_SPECIES
O 16.00 O.upf
K 39.10 K.upf
Ir 192.22 Ir.upf
Ba 137.33 Ba.upf
ATOMIC_POSITIONS angstrom
O -1.3504 0.5255 4.2932
O 1.1532 4.8288 2.4645
O 1.9306 3.3185 4.6945
O 3.6278 3.3892 2.4645
O 1.1243 -0.9141 4.2932
O 0.3468 0.5962 2.0631
K 4.9954 0.8574 0.2411
K -1.7237 4.7664 0.2411
Ir -0.4971 -0.8545 3.1377
Ba 2.6665 1.0686 3.3788
Ba -0.3890 2.8461 3.3788
CELL_PARAMETERS angstrom
6.3614 0.0627 0.2411
-3.0896 5.5610 0.2411
-0.9943 -1.7090 6.2755

! Ca2ZnHgIr | the Alexandria database | PBE | optimized geometry; values from VASP
! uncorrected energy	-2.26	eV per atom
! magnetization	0.000	μB per atom
! energy of formation from the pure elements	14.4	kcal/mol of atoms
&SYSTEM
  ibrav = 0, nat = 5, ntyp = 4
/
ATOMIC_SPECIES
Hg 200.59 Hg.upf
Ca 40.08 Ca.upf
Ir 192.22 Ir.upf
Zn 65.41 Zn.upf
ATOMIC_POSITIONS angstrom
Hg 0.0000 0.0000 0.0000
Ca 2.7959 0.0000 0.0000
Ca 0.0000 0.0000 2.7959
Ir 2.7959 2.3724 2.7959
Zn 0.0000 2.3724 0.0000
CELL_PARAMETERS angstrom
5.5918 0.0000 0.0000
0.0000 4.7447 0.0000
0.0000 0.0000 5.5918

! Tb2MgSi2Ru5 | the Alexandria database | PBE | optimized geometry; values from VASP
! uncorrected energy	-7.32	eV per atom
! magnetization	0.000	μB per atom
! formation energy without anion corrections	-5.11	eV/f.u.
&SYSTEM
  ibrav = 0, nat = 20, ntyp = 4
/
ATOMIC_SPECIES
Tb 158.93 Tb.upf
Ru 101.07 Ru.upf
Mg 24.30 Mg.upf
Si 28.09 Si.upf
ATOMIC_POSITIONS angstrom
Tb 0.0000 8.2758 6.7283
Tb 0.0000 6.7283 1.7269
Tb 0.0000 3.2745 8.2758
Tb 0.0000 1.7269 3.2745
Ru 1.6554 0.6965 7.8842
Ru 1.6554 5.0014 0.0000
Ru 1.6554 5.6978 7.1199
Ru 1.6554 7.8842 9.3062
Ru 1.6554 2.1186 0.6965
Ru 1.6554 9.3062 2.1186
Ru 1.6554 2.8828 5.6978
Ru 1.6554 4.3049 2.8828
Ru 1.6554 7.1199 4.3049
Ru 1.6554 0.0000 5.0014
Mg 0.0000 5.0014 5.0014
Mg 0.0000 0.0000 0.0000
Si 0.0000 3.7253 1.2761
Si 0.0000 6.2775 8.7266
Si 0.0000 8.7266 3.7253
Si 0.0000 1.2761 6.2775
CELL_PARAMETERS angstrom
3.3108 0.0000 0.0000
0.0000 10.0027 0.0000
0.0000 0.0000 10.0027

! MnCd2Au4 | the Alexandria database | PBE | optimized geometry; values from VASP
! uncorrected energy	-3.49	eV per atom
! magnetization	0.573	μB per atom
! energy of formation from the pure elements	-1.1	kcal/mol of atoms
&SYSTEM
  ibrav = 0, nat = 7, ntyp = 3
/
ATOMIC_SPECIES
Au 196.97 Au.upf
Mn 54.94 Mn.upf
Cd 112.41 Cd.upf
ATOMIC_POSITIONS angstrom
Au -2.0957 -2.8004 -4.4520
Au -0.0525 -4.7998 -3.0022
Au -0.5689 0.0730 -2.6410
Au 1.4743 -1.9264 -1.1912
Mn 0.0000 0.0000 0.0000
Cd 0.7470 -2.1594 -4.0309
Cd -1.3683 -2.5673 -1.6123
CELL_PARAMETERS angstrom
0.0479 2.3867 -3.8866
4.1480 -1.6256 -0.9773
-4.8173 -5.4878 -0.7793

! LiY4B3Pt12 | the Alexandria database | PBE | optimized geometry; values from VASP
! uncorrected energy	-6.75	eV per atom
! magnetization	0.000	μB per atom
! energy of formation from the pure elements	-16.8	kcal/mol of atoms
&SYSTEM
  ibrav = 0, nat = 20, ntyp = 4
/
ATOMIC_SPECIES
Pt 195.08 Pt.upf
Y 88.91 Y.upf
B 10.81 B.upf
Li 6.94 Li.upf
ATOMIC_POSITIONS angstrom
Pt -1.3280 0.9391 1.6265
Pt 3.7824 0.0000 3.0883
Pt 1.2608 4.4576 1.5441
Pt 3.7824 2.6745 1.5441
Pt -1.2608 0.8915 4.6324
Pt 1.2608 -0.8915 4.6324
Pt 3.7151 -2.6270 4.5501
Pt 1.3280 1.8781 0.0000
Pt 3.7151 5.2540 0.0000
Pt -1.2608 3.5661 3.0883
Pt 1.3280 -0.9391 1.6265
Pt -3.7151 2.6270 4.5501
Y 3.7824 0.0000 0.0000
Y -1.2608 3.5661 0.0000
Y 1.2608 1.7830 3.0883
Y -1.2608 -1.7830 3.0883
B -2.5216 1.7830 3.0883
B 2.5216 -1.7830 3.0883
B 2.5216 3.5661 0.0000
Li 0.0000 0.0000 0.0000
CELL_PARAMETERS angstrom
7.5648 0.0000 0.0000
-2.5216 7.1321 0.0000
-2.5216 -3.5661 6.1766